# Sc2InHgH, relaxed, DFT GGA-PBE
data_Sc2InHgH
_cell_length_a 4.454
_cell_length_b 4.454
_cell_length_c 4.508
_cell_angle_alpha 90.00
_cell_angle_beta 90.00
_cell_angle_gamma 90.00
_symmetry_space_group_name_H-M 'P 1'
_symmetry_Int_Tables_number 1
_symmetry_space_group_name_Hall 'P 1'
loop_
_atom_site_label
_atom_site_type_symbol
_atom_site_fract_x
_atom_site_fract_y
_atom_site_fract_z
_atom_site_occupancy
Sc1 Sc 0.000 0.500 0.000 1
Sc2 Sc 0.500 0.000 0.000 1
In1 In 0.000 0.000 0.500 1
Hg1 Hg 0.500 0.500 0.500 1
H1 H 0.500 0.500 0.000 1
# Space group = P4/mmm
# Energy above the lowest structure with this stoichiometry = 0.0 meV/atom